A plane-wave DFT calculation with PBE was carried out for a geometry-optimized LaDyLuAl structure.

Structure (extended XYZ):
```
4
Lattice="-2.724 4.350 1.698 -2.841 -0.213 4.594 1.693 2.720 4.354" Properties=species:S:1:pos:R:3 pbc="T T T"
Al -0.968 1.714 2.662
Lu -2.904 5.142 7.985
Dy -1.936 3.428 5.323
La 0.000 0.000 0.000
```

Calculated values
energy of formation from the pure elements: -0.0834 eV/atom
V: 112 Å³/cell
Fermi-level density of states: 1.632 states/eV per atom
final energy: -4.53 eV per atom